1.
{
  "formula": "CeNdDy2",
  "functional": "PBE-GGA",
  "state": "relaxed",
  "de_polymorph_mev_per_atom": 6.5,
  "dos_ef_per_ev_cell": 7.65,
  "delta_e_f_mev_per_atom": 60,
  "magmom_total_mub_per_atom": 0.157,
  "lattice_angstrom": [[3.561, 0.000, 0.000], [0.000, 3.561, 0.000], [0.000, 0.000, 10.037]],
  "species": ["Ce", "Nd", "Dy", "Dy"],
  "frac_coords": [[0.000, 0.000, 0.000], [0.000, 0.000, 0.500], [0.500, 0.500, 0.240], [0.500, 0.500, 0.760]]
}


2.
{
  "formula": "NiAu2Se2",
  "functional": "PBE-GGA",
  "state": "relaxed",
  "raw_formation_energy_ev_per_atom": 0.469,
  "dos_ef_per_ev_cell": 3.65,
  "magmom_total_mub_per_atom": 0.002,
  "lattice_angstrom": [[-1.827, 1.827, 8.224], [1.827, -1.827, 8.224], [1.827, 1.827, -8.224]],
  "species": ["Ni", "Au", "Au", "Se", "Se"],
  "frac_coords": [[0.000, 0.000, 0.000], [0.250, 0.750, 0.500], [0.750, 0.250, 0.500], [0.428, 0.428, 0.000], [0.572, 0.572, 0.000]]
}


3.
{
  "formula": "Nd3Ga3Co",
  "functional": "PBE-GGA",
  "state": "relaxed",
  "dos_ef_per_ev_cell": 12.02,
  "delta_e_f_mev_per_atom": -490,
  "magmom_total_mub_per_atom": 0.000,
  "lattice_angstrom": [[5.782, -1.964, 0.000], [5.782, 1.964, 0.000], [-4.454, 0.000, 14.422]],
  "species": ["Nd", "Nd", "Nd", "Nd", "Nd", "Nd", "Ga", "Ga", "Ga", "Ga", "Ga", "Ga", "Co", "Co"],
  "frac_coords": [[0.026, 0.026, 0.390], [0.118, 0.118, 0.920], [0.239, 0.239, 0.243], [0.761, 0.761, 0.757], [0.882, 0.882, 0.080], [0.974, 0.974, 0.610], [0.322, 0.322, 0.461], [0.399, 0.399, 0.925], [0.474, 0.474, 0.768], [0.526, 0.526, 0.232], [0.601, 0.601, 0.075], [0.678, 0.678, 0.539], [0.283, 0.283, 0.622], [0.717, 0.717, 0.378]]
}


4.
{
  "formula": "KCd2O2",
  "functional": "PBE-GGA",
  "state": "relaxed",
  "raw_formation_energy_ev_per_atom": -0.628,
  "de_polymorph_mev_per_atom": 232.2,
  "dos_ef_per_ev_cell": 4.73,
  "magmom_total_mub_per_atom": 0.127,
  "lattice_angstrom": [[7.872, 0.000, 0.000], [0.000, 7.872, 0.000], [0.000, 0.000, 3.693]],
  "species": ["K", "K", "Cd", "Cd", "Cd", "Cd", "O", "O", "O", "O"],
  "frac_coords": [[0.000, 0.000, 0.000], [0.500, 0.500, 0.000], [0.126, 0.374, 0.500], [0.374, 0.874, 0.500], [0.626, 0.126, 0.500], [0.874, 0.626, 0.500], [0.222, 0.278, 0.000], [0.278, 0.778, 0.000], [0.722, 0.222, 0.000], [0.778, 0.722, 0.000]]
}


In order of appearance, E = -4.92, -3.39, -4.85, -3.20 eV/atom.